A relaxed NdErTeO2 crystal, computed with PBE.

a b c (Å): 6.894 6.894 6.894
angles (deg): 146.61 146.61 47.93
Element x y z (fractional)
Nd 0.000 0.000 0.000
Er 0.678 0.678 0.000
Te 0.341 0.341 0.000
O 0.098 0.598 0.500
O 0.598 0.098 0.500

Results
Size of the total moment, μB/f.u.: 0.003
DFT total energy, eV for the cell shown: -36.96